Entry 1:
A relaxed PaSnGe2Rh5 crystal, computed with GGA-PBE.

## Properties
The density of states at the Fermi level comes out at 0.540 states/eV/atom. For the calculated formation energy, the calculation gives -0.591 eV/atom.

a = 4.139 Å, b = 4.139 Å, c = 8.788 Å
α = 90.00°, β = 90.00°, γ = 90.00°
Sites, in units of the cell vectors:
Pa1 0.000 0.000 0.000
Sn1 0.000 0.000 0.500
Ge1 0.500 0.500 0.139
Ge2 0.500 0.500 0.861
Rh1 0.000 0.500 0.278
Rh2 0.000 0.500 0.722
Rh3 0.500 0.000 0.278
Rh4 0.500 0.000 0.722
Rh5 0.500 0.500 0.500

Entry 2:
A relaxed Pr3NiAg2 crystal, computed with GGA-PBE.

## Properties
The density of states at the Fermi level comes out at 1.000 states/eV/atom. For the calculated formation energy, the calculation gives -0.216 eV/atom. As for the energy relative to the lowest polymorph listed for this composition: 0.0 kJ/mol of formula units.

a = 12.509 Å, b = 4.622 Å, c = 10.996 Å
α = 90.00°, β = 90.00°, γ = 90.00°
Sites, in units of the cell vectors:
Pr1 0.055 0.250 0.119
Pr2 0.110 0.750 0.559
Pr3 0.241 0.250 0.789
Pr4 0.259 0.750 0.289
Pr5 0.390 0.250 0.059
Pr6 0.445 0.750 0.619
Pr7 0.555 0.250 0.381
Pr8 0.610 0.750 0.941
Pr9 0.741 0.250 0.711
Pr10 0.759 0.750 0.211
Pr11 0.890 0.250 0.441
Pr12 0.945 0.750 0.881
Ni1 0.116 0.250 0.365
Ni2 0.384 0.750 0.865
Ni3 0.616 0.250 0.135
Ni4 0.884 0.750 0.635
Ag1 0.005 0.750 0.298
Ag2 0.202 0.750 0.996
Ag3 0.298 0.250 0.496
Ag4 0.495 0.250 0.798
Ag5 0.505 0.750 0.202
Ag6 0.702 0.750 0.504
Ag7 0.798 0.250 0.004
Ag8 0.995 0.250 0.702

- The highest calculated formation energy belongs to which entry?
  Pr3NiAg2